Sc5Ge2Pd12 | GGA-PBE | relaxed

Output
The space-group type is C2/m, No. 12. The value obtained for the formation energy is -0.742 eV/atom.

Unit cell a=7.307 b=9.474 c=6.799 alpha=128.15 beta=90.00 gamma=112.68
Sites, in units of the cell vectors:
1 Sc 0.330 0.660 0.596
2 Sc 0.249 0.498 0.938
3 Sc 0.000 0.000 0.500
4 Sc 0.751 0.502 0.062
5 Sc 0.670 0.340 0.404
6 Ge 0.785 0.000 0.000
7 Ge 0.215 0.000 0.000
8 Pd 0.130 0.260 0.398
9 Pd 0.019 0.644 0.864
10 Pd 0.625 0.644 0.864
11 Pd 0.196 0.788 0.381
12 Pd 0.592 0.788 0.381
13 Pd 0.543 0.086 0.855
14 Pd 0.457 0.914 0.145
15 Pd 0.804 0.212 0.619
16 Pd 0.408 0.212 0.619
17 Pd 0.981 0.356 0.136
18 Pd 0.375 0.356 0.136
19 Pd 0.870 0.740 0.602